{"formula": "PuAsF", "functional": "PBE", "state": "relaxed", "final_energy_ev_per_atom": -8.650, "sg": "Cmmm, No. 65", "total_magnetization_mub_per_fu": 4.02, "cell": [[4.512, 0.000, 0.000], [0.000, 8.180, 0.000], [0.000, 0.000, 8.194]], "species": ["Pu", "Pu", "Pu", "Pu", "F", "F", "F", "F", "As", "As", "As", "As"], "frac_coords": [[0.500, 0.362, 0.750], [0.500, 0.862, 0.250], [0.500, 0.363, 0.250], [0.500, 0.863, 0.750], [0.000, 0.864, 0.750], [0.000, 0.361, 0.750], [0.000, 0.364, 0.250], [0.000, 0.861, 0.250], [0.500, 0.612, 0.999], [0.500, 0.112, 0.499], [0.500, 0.112, 0.001], [0.500, 0.612, 0.501]]}

---

{"formula": "PuAsF", "functional": "PBE", "state": "relaxed", "final_energy_ev_per_atom": -8.519, "sg": "I4mm, No. 107", "total_magnetization_mub_per_fu": 5.49, "cell": [[3.287, 0.000, 0.000], [0.000, 3.287, 0.000], [-1.644, -1.644, 5.333]], "species": ["F", "As", "Pu"], "frac_coords": [[0.291, 0.291, 0.581], [0.006, 0.006, 0.012], [0.703, 0.703, 0.407]]}

---

{"formula": "PuAsF", "functional": "PBE", "state": "relaxed", "final_energy_ev_per_atom": -8.552, "sg": "Cmcm, No. 63", "total_magnetization_mub_per_fu": 5.57, "cell": [[4.907, 0.000, -0.073], [0.000, 4.673, 0.000], [-2.375, 0.000, 5.272]], "species": ["Pu", "Pu", "F", "F", "As", "As"], "frac_coords": [[0.247, 0.250, 0.495], [0.753, 0.750, 0.505], [0.332, 0.750, 0.665], [0.668, 0.250, 0.335], [0.053, 0.750, 0.105], [0.947, 0.250, 0.895]]}

---

{"formula": "PuAsRhF", "functional": "PBE", "state": "relaxed", "final_energy_ev_per_atom": -8.749, "sg": "P4/nmm, No. 129", "total_magnetization_mub_per_fu": 5.42, "cell": [[-3.123, 1.585, -1.933], [-0.417, -3.380, -2.099], [-5.288, -3.083, 6.017]], "species": ["Rh", "Rh", "As", "As", "Pu", "Pu", "F", "F"], "frac_coords": [[0.500, 0.500, 0.000], [0.000, 0.000, 0.000], [0.500, 0.000, 0.174], [0.000, 0.500, 0.826], [0.000, 0.500, 0.314], [0.500, 0.000, 0.686], [0.000, 0.000, 0.500], [0.500, 0.500, 0.500]]}

---

{"formula": "RbAsF2", "functional": "PBE", "state": "relaxed", "final_energy_ev_per_atom": -3.671, "sg": "R-3m, No. 166", "total_magnetization_mub_per_fu": 0.00, "cell": [[7.864, -0.030, -0.018], [7.185, 3.197, -0.018], [7.185, 1.512, 2.817]], "species": ["F", "F", "Rb", "As"], "frac_coords": [[0.750, 0.750, 0.750], [0.250, 0.250, 0.250], [0.000, 0.000, 0.000], [0.500, 0.500, 0.500]]}

---

{"formula": "RbAsF6", "functional": "PBE", "state": "relaxed", "final_energy_ev_per_atom": -4.545, "sg": "R-3m, No. 166", "total_magnetization_mub_per_fu": 0.00, "cell": [[-2.787, 1.595, -4.000], [-3.144, -3.747, 1.546], [-1.535, 3.574, 3.344]], "species": ["F", "F", "F", "F", "F", "F", "As", "Rb"], "frac_coords": [[0.243, 0.920, 0.243], [0.757, 0.757, 0.080], [0.243, 0.243, 0.920], [0.920, 0.243, 0.243], [0.757, 0.080, 0.757], [0.080, 0.757, 0.757], [0.000, 0.000, 0.000], [0.500, 0.500, 0.500]]}

---

{"formula": "RbAsF3", "functional": "PBE", "state": "relaxed", "final_energy_ev_per_atom": -2.856, "sg": "Pm-3m, No. 221", "total_magnetization_mub_per_fu": 1.73, "cell": [[-2.674, 3.951, 1.346], [-1.166, -2.242, 4.264], [4.008, 1.984, 2.139]], "species": ["F", "F", "F", "As", "Rb"], "frac_coords": [[0.000, 0.000, 0.500], [0.500, 0.000, 0.000], [0.000, 0.500, 0.000], [0.500, 0.500, 0.500], [0.000, 0.000, 0.000]]}

---

{"formula": "Rb12As3F5", "functional": "PBE", "state": "relaxed", "final_energy_ev_per_atom": -3.146, "sg": "Ia-3d, No. 230", "total_magnetization_mub_per_fu": 2.12, "cell": [[15.805, 0.000, 0.000], [-5.268, 14.901, 0.000], [-5.268, -7.451, 12.905]], "species": ["F", "F", "F", "F", "F", "F", "F", "F", "F", "F", "F", "F", "F", "F", "F", "F", "F", "F", "F", "F", "Rb", "Rb", "Rb", "Rb", "Rb", "Rb", "Rb", "Rb", "Rb", "Rb", "Rb", "Rb", "Rb", "Rb", "Rb", "Rb", "Rb", "Rb", "Rb", "Rb", "Rb", "Rb", "Rb", "Rb", "Rb", "Rb", "Rb", "Rb", "Rb", "Rb", "Rb", "Rb", "Rb", "Rb", "Rb", "Rb", "Rb", "Rb", "Rb", "Rb", "Rb", "Rb", "Rb", "Rb", "Rb", "Rb", "Rb", "Rb", "As", "As", "As", "As", "As", "As", "As", "As", "As", "As", "As", "As"], "frac_coords": [[0.375, 0.250, 0.125], [0.625, 0.875, 0.250], [0.125, 0.750, 0.375], [0.000, 0.500, 0.000], [0.500, 0.000, 0.500], [0.500, 0.000, 0.000], [0.875, 0.625, 0.750], [0.750, 0.625, 0.375], [0.250, 0.375, 0.625], [0.500, 0.500, 0.500], [0.625, 0.750, 0.875], [0.750, 0.125, 0.875], [0.000, 0.500, 0.500], [0.000, 0.000, 0.000], [0.375, 0.125, 0.750], [0.000, 0.000, 0.500], [0.250, 0.875, 0.125], [0.875, 0.250, 0.625], [0.500, 0.500, 0.000], [0.125, 0.375, 0.250], [0.378, 0.404, 0.083], [0.026, 0.622, 0.705], [0.679, 0.205, 0.583], [0.321, 0.526, 0.404], [0.904, 0.821, 0.526], [0.205, 0.526, 0.622], [0.295, 0.417, 0.821], [0.904, 0.083, 0.878], [0.974, 0.378, 0.295], [0.679, 0.474, 0.596], [0.596, 0.974, 0.679], [0.878, 0.295, 0.474], [0.596, 0.622, 0.417], [0.179, 0.083, 0.705], [0.417, 0.122, 0.596], [0.622, 0.596, 0.917], [0.795, 0.474, 0.378], [0.096, 0.917, 0.122], [0.526, 0.205, 0.122], [0.917, 0.096, 0.622], [0.205, 0.679, 0.083], [0.179, 0.096, 0.974], [0.917, 0.821, 0.795], [0.417, 0.295, 0.321], [0.974, 0.596, 0.179], [0.821, 0.917, 0.295], [0.622, 0.026, 0.205], [0.295, 0.878, 0.974], [0.474, 0.679, 0.096], [0.526, 0.321, 0.904], [0.096, 0.179, 0.474], [0.878, 0.583, 0.904], [0.404, 0.378, 0.583], [0.321, 0.795, 0.417], [0.026, 0.404, 0.821], [0.821, 0.904, 0.026], [0.705, 0.583, 0.179], [0.378, 0.974, 0.795], [0.083, 0.179, 0.205], [0.122, 0.417, 0.096], [0.122, 0.705, 0.526], [0.474, 0.795, 0.878], [0.583, 0.878, 0.404], [0.083, 0.904, 0.378], [0.404, 0.026, 0.321], [0.795, 0.321, 0.917], [0.583, 0.705, 0.679], [0.705, 0.122, 0.026], [0.750, 0.375, 0.125], [0.125, 0.250, 0.875], [0.625, 0.375, 0.750], [0.875, 0.125, 0.250], [0.250, 0.625, 0.875], [0.375, 0.625, 0.250], [0.875, 0.750, 0.125], [0.375, 0.750, 0.625], [0.625, 0.250, 0.375], [0.125, 0.875, 0.750], [0.750, 0.875, 0.625], [0.250, 0.125, 0.375]]}

---

{"formula": "RbAsF3", "functional": "PBE", "state": "relaxed", "final_energy_ev_per_atom": -4.254, "sg": "I4/mmm, No. 139", "total_magnetization_mub_per_fu": 0.00, "cell": [[6.001, 0.000, 0.000], [0.000, 6.001, 0.000], [3.000, 3.000, 5.601]], "species": ["F", "F", "F", "F", "F", "F", "As", "As", "Rb", "Rb"], "frac_coords": [[0.819, 0.819, 0.362], [0.244, 0.756, 0.000], [0.181, 0.181, 0.638], [0.244, 0.244, 0.000], [0.756, 0.244, 0.000], [0.756, 0.756, 0.000], [0.500, 0.500, 0.000], [0.000, 0.000, 0.000], [0.250, 0.750, 0.500], [0.750, 0.250, 0.500]]}

---

{"formula": "RbAs3F", "functional": "PBE", "state": "relaxed", "final_energy_ev_per_atom": -2.035, "sg": "Pm-3m, No. 221", "total_magnetization_mub_per_fu": 9.00, "cell": [[7.106, 0.000, 0.000], [0.000, 7.106, 0.000], [0.000, 0.000, 7.106]], "species": ["As", "As", "As", "F", "Rb"], "frac_coords": [[0.500, 0.000, 0.000], [0.000, 0.500, 0.000], [0.000, 0.000, 0.500], [0.500, 0.500, 0.500], [0.000, 0.000, 0.000]]}

---

{"formula": "Rb3AsF7", "functional": "PBE", "state": "relaxed", "final_energy_ev_per_atom": -4.358, "sg": "P4/mbm, No. 127", "total_magnetization_mub_per_fu": 1.01, "cell": [[-3.677, -2.982, -3.793], [6.297, -4.952, -2.211], [-2.009, -5.278, 6.097]], "species": ["Rb", "Rb", "Rb", "Rb", "Rb", "Rb", "F", "F", "F", "F", "F", "F", "F", "F", "F", "F", "F", "F", "F", "F", "As", "As"], "frac_coords": [[0.500, 0.808, 0.308], [0.000, 0.500, 0.500], [0.500, 0.308, 0.192], [0.500, 0.692, 0.808], [0.500, 0.192, 0.692], [0.000, 0.000, 0.000], [0.000, 0.337, 0.163], [0.771, 0.613, 0.113], [0.229, 0.613, 0.113], [0.229, 0.113, 0.387], [0.771, 0.113, 0.387], [0.000, 0.163, 0.663], [0.229, 0.387, 0.887], [0.229, 0.887, 0.613], [0.771, 0.887, 0.613], [0.000, 0.663, 0.837], [0.500, 0.500, 0.500], [0.771, 0.387, 0.887], [0.000, 0.837, 0.337], [0.500, 0.000, 0.000], [0.000, 0.000, 0.500], [0.000, 0.500, 0.000]]}

---

{"formula": "RbAs2F", "functional": "PBE", "state": "relaxed", "final_energy_ev_per_atom": -2.715, "sg": "Fm-3m, No. 225", "total_magnetization_mub_per_fu": 0.00, "cell": [[0.000, 3.605, 3.605], [3.605, 0.000, 3.605], [3.605, 3.605, 0.000]], "species": ["Rb", "As", "As", "F"], "frac_coords": [[0.500, 0.500, 0.500], [0.750, 0.750, 0.750], [0.250, 0.250, 0.250], [0.000, 0.000, 0.000]]}